(1)
In4CuPd GGA-PBE optimized geometry; crystal system = tetragonal; electronic total energy = -3.562 eV per atom; calculated formation energy = -1.13 eV/f.u.; D(E_F) = 2.848 states/eV/cell; volume = 124.93 Å³ per cell
1.0
-2.276 1.039 -4.893
5.294 -1.454 0.250
-2.743 -4.355 1.927
In Cu Pd
4 1 1
direct
0.912 0.412 0.825 In
0.088 0.912 0.500 In
0.588 0.088 0.175 In
0.412 0.588 0.500 In
0.500 0.500 0.000 Cu
0.000 0.000 0.000 Pd



(2)
In4CuPd5 GGA-PBE optimized geometry; crystal system = tetragonal; electronic total energy = -4.534 eV per atom; calculated formation energy = -4.33 eV/f.u.; D(E_F) = 2.377 states/eV/cell; volume = 171.84 Å³ per cell
1.0
3.321 0.000 0.000
0.000 3.321 0.000
0.000 0.000 15.580
Pd In Cu
5 4 1
direct
0.500 0.500 0.290 Pd
0.500 0.500 0.911 Pd
0.500 0.500 0.500 Pd
0.500 0.500 0.089 Pd
0.500 0.500 0.710 Pd
0.000 0.000 0.185 In
0.000 0.000 0.815 In
0.000 0.000 0.604 In
0.000 0.000 0.396 In
0.000 0.000 0.000 Cu



(3)
InCu5Pd8 GGA-PBE optimized geometry; crystal system = tetragonal; electronic total energy = -4.666 eV per atom; calculated formation energy = -0.56 eV/f.u.; D(E_F) = 3.726 states/eV/cell; volume = 215.81 Å³ per cell
1.0
-5.007 -2.459 3.425
1.943 -4.274 -4.562
4.883 1.231 4.182
Cu Pd In
5 8 1
direct
0.038 0.337 0.128 Cu
0.790 0.663 0.701 Cu
0.299 0.090 0.962 Cu
0.500 0.000 0.500 Cu
0.872 0.910 0.210 Cu
0.518 0.599 0.256 Pd
0.926 0.069 0.663 Pd
0.595 0.931 0.857 Pd
0.143 0.737 0.074 Pd
0.337 0.263 0.405 Pd
0.657 0.401 0.920 Pd
0.080 0.738 0.482 Pd
0.744 0.262 0.343 Pd
0.250 0.500 0.750 In



(4)
InCuPd14 GGA-PBE optimized geometry; crystal system = orthorhombic; electronic total energy = -5.073 eV per atom; calculated formation energy = -1.63 eV/f.u.; D(E_F) = 29.718 states/eV/cell; volume = 248.76 Å³ per cell
1.0
5.572 -0.320 0.000
-2.478 5.001 0.000
0.000 0.000 9.189
Pd Cu In
14 1 1
direct
0.372 0.123 0.253 Pd
0.707 0.293 0.000 Pd
0.206 0.292 0.000 Pd
0.876 0.124 0.253 Pd
0.374 0.626 0.248 Pd
0.374 0.626 0.752 Pd
0.372 0.123 0.747 Pd
0.708 0.794 0.000 Pd
0.044 0.456 0.500 Pd
0.207 0.793 0.000 Pd
0.544 0.956 0.500 Pd
0.877 0.628 0.747 Pd
0.876 0.124 0.747 Pd
0.877 0.628 0.253 Pd
0.043 0.957 0.500 Cu
0.543 0.457 0.500 In



(5)
InCu2Pd GGA-PBE optimized geometry; crystal system = tetragonal; electronic total energy = -3.950 eV per atom; calculated formation energy = 0.32 eV/f.u.; D(E_F) = 2.236 states/eV/cell; volume = 132.24 Å³ per cell
1.0
7.058 0.000 0.000
0.000 7.058 0.000
3.529 3.529 2.655
Pd Cu In
2 4 2
direct
0.250 0.750 0.500 Pd
0.500 0.500 0.000 Pd
0.375 0.386 0.750 Cu
0.614 0.125 0.250 Cu
0.875 0.864 0.750 Cu
0.136 0.625 0.250 Cu
0.000 0.000 0.000 In
0.750 0.250 0.500 In



(6)
In2CuPd4 GGA-PBE optimized geometry; crystal system = monoclinic; electronic total energy = -4.600 eV per atom; calculated formation energy = -1.86 eV/f.u.; D(E_F) = 6.140 states/eV/cell; volume = 238.61 Å³ per cell
1.0
6.633 0.000 -0.441
0.000 5.581 0.000
-3.054 0.000 6.648
In Pd Cu
4 8 2
direct
0.810 0.750 0.071 In
0.293 0.250 0.383 In
0.707 0.750 0.617 In
0.190 0.250 0.929 In
0.431 0.504 0.760 Pd
0.022 0.750 0.492 Pd
0.978 0.250 0.508 Pd
0.569 0.004 0.240 Pd
0.844 0.250 0.073 Pd
0.431 0.996 0.760 Pd
0.156 0.750 0.927 Pd
0.569 0.496 0.240 Pd
0.723 0.250 0.680 Cu
0.277 0.750 0.320 Cu



(7)
InCu2Pd9 GGA-PBE optimized geometry; crystal system = tetragonal; electronic total energy = -4.973 eV per atom; calculated formation energy = -2.01 eV/f.u.; D(E_F) = 16.692 states/eV/cell; volume = 183.60 Å³ per cell
1.0
-2.297 3.200 0.245
-1.174 -0.557 -3.726
-8.921 -6.695 3.813
Pd Cu In
9 2 1
direct
0.000 0.500 0.176 Pd
0.500 0.500 0.000 Pd
0.000 0.500 0.824 Pd
0.500 0.500 0.339 Pd
0.000 0.500 0.500 Pd
0.500 0.500 0.661 Pd
0.500 0.000 0.500 Pd
0.500 0.000 0.176 Pd
0.500 0.000 0.824 Pd
0.000 0.000 0.339 Cu
0.000 0.000 0.661 Cu
0.000 0.000 0.000 In



(8)
InCu2Pd2 GGA-PBE optimized geometry; crystal system = orthorhombic; electronic total energy = -4.458 eV per atom; calculated formation energy = -0.98 eV/f.u.; distance to the lowest polymorph of the same formula = 0.00 eV per formula unit; D(E_F) = 3.856 states/eV/cell; volume = 157.00 Å³ per cell
1.0
4.281 0.004 -1.402
-0.761 5.148 -2.308
-0.039 0.037 7.117
Cu Pd In
4 4 2
direct
0.995 0.745 0.490 Cu
0.374 0.624 0.247 Cu
0.005 0.255 0.510 Cu
0.626 0.376 0.753 Cu
0.180 0.184 0.860 Pd
0.820 0.816 0.140 Pd
0.820 0.324 0.140 Pd
0.180 0.676 0.860 Pd
0.615 0.865 0.730 In
0.385 0.135 0.270 In



no.,total magnetization (Bohr magnetons per cell)
1,0.00
2,0.00
3,0.00
4,0.00
5,0.00
6,0.00
7,0.00
8,0.00